This record from the Alexandria database describes MgZr2Pt after structural relaxation. The functional is GGA-PBE.

a b c (Å): 3.338 4.000 5.952
angles (deg): 90.00 90.79 90.00
Space group P2/m (No. 10)
Asymmetric unit:
Mg  0.000  0.000  0.000 (multiplicity 1)
Zr  0.494  0.500  0.736 (multiplicity 2)
Pt  0.000  0.000  0.500 (multiplicity 1)

## Properties
V   19.9 Å³ per atom
Crystal system   monoclinic
ΔH_f (0 K)   -0.43 eV per atom